## ZrAlCu2Os (GGA-PBE)

Data for crystalline ZrAlCu2Os at its relaxed geometry.

Results
DOS at the Fermi energy	0.99	states/eV per atom

Cell lengths 4.636, 4.636, 5.031 Å; angles 90.00, 90.00, 90.00 degrees
Atoms (fractional coordinates):
Zr1 0.000 0.000 0.000
Al1 0.000 0.000 0.500
Cu1 0.000 0.500 0.000
Cu2 0.500 0.000 0.000
Os1 0.500 0.500 0.500

---

## AlCuP (GGA-PBE)

Data for crystalline AlCuP at its relaxed geometry.

Results
DOS at the Fermi energy	0.32	states/eV per atom

Cell lengths 4.033, 4.033, 5.572 Å; angles 90.00, 90.00, 90.00 degrees
Atoms (fractional coordinates):
Al1 0.250 0.750 0.000
Al2 0.750 0.250 0.000
Cu1 0.250 0.250 0.314
Cu2 0.750 0.750 0.686
P1 0.250 0.250 0.728
P2 0.750 0.750 0.272

---

## AlCuP (GGA-PBE)

Data for crystalline AlCuP at its relaxed geometry.

Results
DOS at the Fermi energy	0.35	states/eV per atom

Cell lengths 3.712, 3.712, 3.857 Å; angles 90.00, 90.00, 120.00 degrees
Atoms (fractional coordinates):
Al1 0.000 0.000 0.000
Cu1 0.667 0.333 0.403
P1 0.333 0.667 0.653

---

## Al2Cu2P (GGA-PBE)

Data for crystalline Al2Cu2P at its relaxed geometry.

Results
DOS at the Fermi energy	0.24	states/eV per atom

Cell lengths 7.094, 7.094, 2.831 Å; angles 90.00, 90.00, 90.00 degrees
Atoms (fractional coordinates):
Al1 0.170 0.330 0.000
Al2 0.330 0.830 0.000
Al3 0.670 0.170 0.000
Al4 0.830 0.670 0.000
Cu1 0.127 0.627 0.500
Cu2 0.373 0.127 0.500
Cu3 0.627 0.873 0.500
Cu4 0.873 0.373 0.500
P1 0.000 0.000 0.500
P2 0.500 0.500 0.500

---

no.,E (eV per atom)
1,-4.305
2,-4.369
3,-4.405
4,-4.148